Density functional theory data (PBE with a Hubbard U) for FeBNF2 after structural relaxation.

```
data_FeBNF2
_symmetry_space_group_name_H-M 'P 1'
_symmetry_Int_Tables_number 1
_symmetry_space_group_name_Hall 'P 1'
_cell_length_a 4.2231
_cell_length_b 4.2231
_cell_length_c 2.7387
_cell_angle_alpha 90.00
_cell_angle_beta 90.00
_cell_angle_gamma 90.00
loop_
_atom_site_label
_atom_site_fract_x
_atom_site_fract_y
_atom_site_fract_z
Fe1 0.0000 0.0000 0.0000
B1 0.5000 0.5000 0.5000
N1 0.5000 0.5000 0.0000
F1 0.0000 0.5000 0.5000
F2 0.5000 0.0000 0.5000
```

Electronic total energy (eV for the cell shown): -28.6
Fermi-level density of states (states/eV/f.u.): 0.740
Excess energy over the best structure of this formula in the dataset (meV/atom): 0